# 1
# Ac4NiRh3

A relaxed Ac4NiRh3 crystal (GGA-PBE, the Alexandria database).

- volume (Å³/cell) = 209
- electronic total energy (eV/cell) = -48.94
- Fermi-level density of states (states/eV per atom) = 0.473
- ΔE_f (eV per atom) = -0.5838
- calculated density (g/cm3) = 10.1
- space-group type = Pmm2, No. 25

Cell lengths 4.131, 4.341, 11.681 Å; angles 90.00, 90.00, 90.00 degrees
Fractional positions:
Ni  0.500  0.500  0.074
Ac  0.500  0.500  0.365
Ac  0.000  0.500  0.864
Ac  0.000  0.000  0.136
Ac  0.500  0.000  0.637
Rh  0.000  0.500  0.590
Rh  0.000  0.000  0.408
Rh  0.500  0.000  0.925



# 2
# AcNiRh

A relaxed AcNiRh crystal (GGA-PBE, the Alexandria database).

- volume (Å³/cell) = 115
- electronic total energy (eV/cell) = -36.88
- Fermi-level density of states (states/eV per atom) = 0.774
- ΔE_f (eV per atom) = -0.3993
- calculated density (g/cm3) = 11.2
- space-group type = Imma, No. 74

Cell lengths 5.443, 5.443, 5.443 Å; angles 91.04, 117.25, 121.60 degrees
Fractional positions:
Ac  0.250  0.120  0.870
Ac  0.750  0.880  0.130
Ni  0.000  0.500  0.500
Ni  0.500  0.000  0.500
Rh  0.500  0.500  0.500
Rh  0.000  0.500  0.000



# 3
# Ac8Ni2Rh

A relaxed Ac8Ni2Rh crystal (GGA-PBE, the Alexandria database).

- volume (Å³/cell) = 398
- electronic total energy (eV/cell) = -54.33
- Fermi-level density of states (states/eV per atom) = 1.100
- ΔE_f (eV per atom) = -0.2320
- calculated density (g/cm3) = 8.5
- space-group type = C2/m, No. 12

Cell lengths 4.109, 9.697, 10.229 Å; angles 93.92, 101.59, 90.00 degrees
Fractional positions:
Ac  0.599  0.547  0.198
Ac  0.348  0.040  0.696
Ac  0.225  0.326  0.450
Ac  0.985  0.790  0.970
Ac  0.775  0.674  0.550
Ac  0.652  0.960  0.304
Ac  0.401  0.453  0.802
Ac  0.015  0.210  0.030
Ni  0.166  0.733  0.333
Ni  0.834  0.267  0.667
Rh  0.500  0.000  0.000



# 4
# Ac2Ni15Rh2

A relaxed Ac2Ni15Rh2 crystal (GGA-PBE, the Alexandria database).

- volume (Å³/cell) = 263
- electronic total energy (eV/cell) = -111.99
- Fermi-level density of states (states/eV per atom) = 1.366
- ΔE_f (eV per atom) = -0.1236
- calculated density (g/cm3) = 9.7
- space-group type = R-3m, No. 166

Cell lengths 6.450, 6.450, 6.450 Å; angles 83.08, 83.08, 83.08 degrees
Fractional positions:
Ac  0.344  0.344  0.344
Ac  0.656  0.656  0.656
Ni  0.500  0.000  0.000
Ni  0.000  0.000  0.500
Ni  0.000  0.500  0.000
Ni  0.000  0.714  0.286
Ni  0.714  0.286  0.000
Ni  0.286  0.000  0.714
Ni  0.286  0.714  0.000
Ni  0.714  0.000  0.286
Ni  0.000  0.286  0.714
Ni  0.154  0.659  0.659
Ni  0.659  0.659  0.154
Ni  0.659  0.154  0.659
Ni  0.846  0.341  0.341
Ni  0.341  0.341  0.846
Ni  0.341  0.846  0.341
Rh  0.102  0.102  0.102
Rh  0.898  0.898  0.898



# 5
# Ac2NiRh

A relaxed Ac2NiRh crystal (GGA-PBE, the Alexandria database).

- volume (Å³/cell) = 113
- electronic total energy (eV/cell) = -22.61
- Fermi-level density of states (states/eV per atom) = 0.854
- ΔE_f (eV per atom) = -0.3159
- calculated density (g/cm3) = 9.1
- space-group type = R3m, No. 160

Cell lengths 4.223, 4.223, 7.707 Å; angles 74.10, 74.10, 60.00 degrees
Fractional positions:
Ac  0.079  0.079  0.763
Ac  0.254  0.254  0.239
Ni  0.502  0.502  0.493
Rh  0.665  0.665  0.005



# 6
# AcNiRh

A relaxed AcNiRh crystal (GGA-PBE, the Alexandria database).

- volume (Å³/cell) = 296
- electronic total energy (eV/cell) = -69.79
- Fermi-level density of states (states/eV per atom) = 1.397
- ΔE_f (eV per atom) = -0.0690
- calculated density (g/cm3) = 8.7
- space-group type = P4_12_12, No. 92

Cell lengths 7.119, 7.119, 5.841 Å; angles 90.00, 90.00, 90.00 degrees
Fractional positions:
Ni  0.367  0.367  0.000
Ni  0.633  0.633  0.500
Ni  0.133  0.867  0.250
Ni  0.867  0.133  0.750
Rh  0.631  0.369  0.750
Rh  0.869  0.869  0.500
Rh  0.131  0.131  0.000
Rh  0.369  0.631  0.250
Ac  0.750  0.250  0.250
Ac  0.750  0.750  0.000
Ac  0.250  0.250  0.500
Ac  0.250  0.750  0.750



What is the formula in the second record?
AcNiRh



Which value of calculated density does entry 3 give?
8.5 g/cm3



Which value of Fermi-level density of states does entry 1 give?
0.473 states/eV per atom